1.
A geometry-optimized PuCuS2 structure. Source: Alexandria via LeMat-Bulk, functional PBE.

extended XYZ file:
```
8
Lattice="3.938 -0.001 -0.001 0.001 4.061 -0.048 0.002 0.118 9.903" Properties=species:S:1:pos:R:3 pbc="T T T"
Pu 2.760 2.136 4.503
S 0.792 0.272 0.152
S 0.791 0.104 4.680
Cu 0.794 3.448 2.267
S 2.762 2.323 1.955
Pu 0.792 0.141 7.513
S 2.761 2.166 7.336
Cu 2.764 1.505 9.717
```

Output
E_form (uncorrected) = -4.07 eV per formula unit
DOS at the Fermi energy = 6.86 states/eV/f.u.
Symmetry = Pmn2_1 (31)
Magnetic moment = 9.95 μB/cell
Density = 7.79 g cm⁻³

2.
A geometry-optimized BaNa6Zn2 structure. Source: Alexandria via LeMat-Bulk, functional PBE.

extended XYZ file:
```
9
Lattice="4.860 0.000 0.000 0.000 4.860 0.000 0.000 0.000 12.648" Properties=species:S:1:pos:R:3 pbc="T T T"
Na 2.430 0.000 3.409
Na 0.000 0.000 6.324
Na 0.000 2.430 3.409
Na 0.000 2.430 9.239
Zn 2.430 2.430 11.329
Na 2.430 2.430 6.324
Na 2.430 0.000 9.239
Zn 2.430 2.430 1.319
Ba 0.000 0.000 0.000
```

Output
DOS at the Fermi energy = 5.09 states/eV/f.u.
Symmetry = P4/mmm (123)
ΔH_f (0 K) = -0.011 eV/atom
Magnetic moment = 0.00 μB/cell
Density = 2.26 g cm⁻³

3.
A geometry-optimized TlW structure. Source: Alexandria via LeMat-Bulk, functional PBE.

extended XYZ file:
```
6
Lattice="1.540 6.853 0.033 -1.540 6.853 0.033 0.000 3.151 6.482" Properties=species:S:1:pos:R:3 pbc="T T T"
W 0.000 1.583 2.550
Tl 0.000 7.671 5.256
W 0.000 10.140 3.630
Tl 0.000 5.798 2.190
W 0.000 10.129 1.105
Tl 0.000 4.353 5.941
```

Output
DOS at the Fermi energy = 1.32 states/eV/f.u.
Symmetry = Cm (8)
ΔH_f (0 K) = 0.800 eV/atom
Energy above the lowest structure with this stoichiometry = 175 meV per atom
Magnetic moment = 0.00 μB/cell
Density = 14.17 g cm⁻³

4.
A geometry-optimized B2Rh3 structure. Source: Alexandria via LeMat-Bulk, functional PBE.

extended XYZ file:
```
10
Lattice="-2.927 -2.172 -1.066 2.048 -3.750 -4.747 -0.072 -4.631 2.868" Properties=species:S:1:pos:R:3 pbc="T T T"
Rh 0.439 -3.241 -3.445
B -1.364 -8.243 -1.719
Rh -2.290 -7.979 0.173
B -0.438 -2.941 -1.535
B 0.791 -5.339 -3.407
B -1.129 -4.759 0.685
Rh 0.070 -3.034 0.529
Rh -0.457 -7.100 -3.268
Rh -0.190 -5.065 -1.368
Rh -1.910 -1.417 -0.696
```

Output
DOS at the Fermi energy = 2.90 states/eV/f.u.
Symmetry = Fdd2 (43)
ΔH_f (0 K) = -0.285 eV/atom
Energy above the lowest structure with this stoichiometry = 22 meV per atom
Magnetic moment = 0.00 μB/cell
Density = 9.28 g cm⁻³

5.
A geometry-optimized LaErTe2 structure. Source: Alexandria via LeMat-Bulk, functional PBE.

extended XYZ file:
```
4
Lattice="-0.724 0.389 -4.246 -1.460 -3.383 -2.263 -8.014 1.181 -0.728" Properties=species:S:1:pos:R:3 pbc="T T T"
Te -2.403 -0.497 -1.838
Er -9.389 -0.840 -5.083
Te -6.344 0.681 -1.058
La -5.174 -0.884 -3.603
```

Output
E_form (uncorrected) = -5.66 eV per formula unit
DOS at the Fermi energy = 1.72 states/eV/f.u.
Symmetry = R3m (160)
Energy above the lowest structure with this stoichiometry = 0 meV per atom
Magnetic moment = 0.00 μB/cell
Density = 7.44 g cm⁻³

6.
A geometry-optimized AcLa2Pr4Ho structure. Source: Alexandria via LeMat-Bulk, functional PBE.

extended XYZ file:
```
8
Lattice="-3.393 -3.734 1.583 2.150 -3.394 -3.397 9.020 -6.486 4.033" Properties=species:S:1:pos:R:3 pbc="T T T"
Pr 2.219 -6.056 -0.696
La 9.020 -6.486 4.033
Pr 5.557 -7.558 2.915
Pr -0.550 -6.227 1.798
Ho 5.585 -4.940 0.318
La 2.813 -5.110 2.808
Ac -0.621 -3.564 -0.907
Pr 8.327 -7.388 0.421
```

Output
DOS at the Fermi energy = 13.85 states/eV/f.u.
Symmetry = Pmmm (47)
ΔH_f (0 K) = 0.021 eV/atom
Magnetic moment = 0.00 μB/cell
Density = 6.96 g cm⁻³

Q: Which value of density does entry 5 give?
A: 7.44 g cm⁻³